1.
# AcPrSm2 (PBE, relaxed)
data_AcPrSm2
_chemical_formula_sum 'Ac1 Pr1 Sm2'
_symmetry_space_group_name_H-M 'P 4/m m m'
_symmetry_Int_Tables_number 123
_symmetry_space_group_name_Hall '-P 4 2'
_cell_length_a 3.771
_cell_length_b 3.771
_cell_length_c 10.421
_cell_angle_alpha 90.00
_cell_angle_beta 90.00
_cell_angle_gamma 90.00
loop_
_atom_site_label
_atom_site_type_symbol
_atom_site_fract_x
_atom_site_fract_y
_atom_site_fract_z
_atom_site_occupancy
Ac1 Ac 0.000 0.000 0.000 1
Pr1 Pr 0.000 0.000 0.500 1
Sm1 Sm 0.500 0.500 0.259 1
# Total moment: 0.0 μB/cell
# Formation enthalpy at 0 K: 3.2 kJ per mole of atoms

---

2.
# CoNi9Rh2 (PBE, relaxed)
data_CoNi9Rh2
_chemical_formula_sum 'Co1 Ni9 Rh2'
_symmetry_space_group_name_H-M 'P 4/m m m'
_symmetry_Int_Tables_number 123
_symmetry_space_group_name_Hall '-P 4 2'
_cell_length_a 3.592
_cell_length_b 3.592
_cell_length_c 10.765
_cell_angle_alpha 90.00
_cell_angle_beta 90.00
_cell_angle_gamma 90.00
loop_
_atom_site_label
_atom_site_type_symbol
_atom_site_fract_x
_atom_site_fract_y
_atom_site_fract_z
_atom_site_occupancy
Co1 Co 0.000 0.000 0.000 1
Ni1 Ni 0.000 0.500 0.159 1
Ni2 Ni 0.000 0.500 0.500 1
Ni3 Ni 0.500 0.500 0.000 1
Ni4 Ni 0.500 0.500 0.329 1
Rh1 Rh 0.000 0.000 0.330 1
# Total moment: 9.3 μB/cell
# Formation enthalpy at 0 K: 3.4 kJ per mole of atoms

---

3.
# Tm4TlGaN (PBE, relaxed)
data_Tm4TlGaN
_chemical_formula_sum 'Tm16 Tl4 Ga4 N4'
_symmetry_space_group_name_H-M 'C m c m'
_symmetry_Int_Tables_number 63
_symmetry_space_group_name_Hall '-C 2c 2'
_cell_length_a 6.537
_cell_length_b 15.264
_cell_length_c 6.544
_cell_angle_alpha 90.00
_cell_angle_beta 90.00
_cell_angle_gamma 90.00
loop_
_atom_site_label
_atom_site_type_symbol
_atom_site_fract_x
_atom_site_fract_y
_atom_site_fract_z
_atom_site_occupancy
Tm1 Tm 0.000 0.080 0.250 1
Tm2 Tm 0.000 0.412 0.250 1
Tm3 Tm 0.250 0.250 0.000 1
Tl1 Tl 0.000 0.390 0.750 1
Ga1 Ga 0.000 0.118 0.750 1
N1 N 0.000 0.250 0.250 1
# Total moment: 0.0 μB/cell
# Uncorrected formation energy: -0.7582 eV/atom

---

4.
# RbTcB2Pt (PBE, relaxed)
data_RbTcB2Pt
_chemical_formula_sum 'Rb1 Tc1 B2 Pt1'
_symmetry_space_group_name_H-M 'P 4/m m m'
_symmetry_Int_Tables_number 123
_symmetry_space_group_name_Hall '-P 4 2'
_cell_length_a 4.144
_cell_length_b 4.144
_cell_length_c 5.710
_cell_angle_alpha 90.00
_cell_angle_beta 90.00
_cell_angle_gamma 90.00
loop_
_atom_site_label
_atom_site_type_symbol
_atom_site_fract_x
_atom_site_fract_y
_atom_site_fract_z
_atom_site_occupancy
Rb1 Rb 0.000 0.000 0.000 1
Tc1 Tc 0.000 0.000 0.500 1
B1 B 0.000 0.500 0.500 1
Pt1 Pt 0.500 0.500 0.000 1
# Total moment: 0.0 μB/cell
# Formation enthalpy at 0 K: 165.0 kJ per mole of atoms

---

5.
# Pm2NiGe6Rh (PBE, relaxed)
data_Pm2NiGe6Rh
_chemical_formula_sum 'Pm12 Ni6 Ge36 Rh6'
_symmetry_space_group_name_H-M 'R -3 m'
_symmetry_Int_Tables_number 166
_symmetry_space_group_name_Hall '-R 3 2"'
_cell_length_a 6.0570
_cell_length_b 6.0570
_cell_length_c 38.2605
_cell_angle_alpha 90.00
_cell_angle_beta 90.00
_cell_angle_gamma 120.00
loop_
_atom_site_label
_atom_site_type_symbol
_atom_site_fract_x
_atom_site_fract_y
_atom_site_fract_z
_atom_site_occupancy
Pm1 Pm 0.0000 0.0000 0.1069 1
Pm2 Pm 0.0000 0.0000 0.3057 1
Ni1 Ni 0.0000 0.0000 0.0000 1
Ni2 Ni 0.0000 0.0000 0.5000 1
Ge1 Ge 0.0327 0.5163 0.2906 1
Ge2 Ge 0.0548 0.5274 0.8667 1
Rh1 Rh 0.0000 0.0000 0.4302 1
# Total moment: 0.0 μB/cell
# Formation enthalpy at 0 K: -40.4 kJ per mole of atoms

---

6.
# Sc2GeIO (PBE, relaxed)
data_Sc2GeIO
_chemical_formula_sum 'Sc2 Ge1 I1 O1'
_symmetry_space_group_name_H-M 'P 4/m m m'
_symmetry_Int_Tables_number 123
_symmetry_space_group_name_Hall '-P 4 2'
_cell_length_a 5.210
_cell_length_b 5.210
_cell_length_c 4.053
_cell_angle_alpha 90.00
_cell_angle_beta 90.00
_cell_angle_gamma 90.00
loop_
_atom_site_label
_atom_site_type_symbol
_atom_site_fract_x
_atom_site_fract_y
_atom_site_fract_z
_atom_site_occupancy
Sc1 Sc 0.000 0.500 0.000 1
Ge1 Ge 0.000 0.000 0.000 1
I1 I 0.500 0.500 0.500 1
O1 O 0.000 0.000 0.500 1
# Total moment: 0.0 μB/cell
# Uncorrected formation energy: -0.4200 eV/atom

---

7.
# Nd12HoTm6 (PBE, relaxed)
data_Nd12HoTm6
_chemical_formula_sum 'Nd36 Ho3 Tm18'
_symmetry_space_group_name_H-M 'R -3'
_symmetry_Int_Tables_number 148
_symmetry_space_group_name_Hall '-R 3'
_cell_length_a 12.1159
_cell_length_b 12.1159
_cell_length_c 15.2916
_cell_angle_alpha 90.00
_cell_angle_beta 90.00
_cell_angle_gamma 120.00
loop_
_atom_site_label
_atom_site_type_symbol
_atom_site_fract_x
_atom_site_fract_y
_atom_site_fract_z
_atom_site_occupancy
Nd1 Nd 0.0018 0.8278 0.1916 1
Nd2 Nd 0.0473 0.8491 0.4161 1
Ho1 Ho 0.0000 0.0000 0.0000 1
Tm1 Tm 0.0170 0.4293 0.6877 1
# Total moment: 0.0 μB/cell
# Formation enthalpy at 0 K: 12.7 kJ per mole of atoms

---

8.
# AcTbCeTl (PBE, relaxed)
data_AcTbCeTl
_chemical_formula_sum 'Ac4 Tb4 Ce4 Tl4'
_symmetry_space_group_name_H-M 'F -4 3 m'
_symmetry_Int_Tables_number 216
_symmetry_space_group_name_Hall 'F -4 2 3'
_cell_length_a 7.969
_cell_length_b 7.969
_cell_length_c 7.969
_cell_angle_alpha 90.00
_cell_angle_beta 90.00
_cell_angle_gamma 90.00
loop_
_atom_site_label
_atom_site_type_symbol
_atom_site_fract_x
_atom_site_fract_y
_atom_site_fract_z
_atom_site_occupancy
Ac1 Ac 0.000 0.000 0.000 1
Tb1 Tb 0.250 0.250 0.250 1
Ce1 Ce 0.250 0.250 0.750 1
Tl1 Tl 0.000 0.000 0.500 1
# Total moment: 4.7 μB/cell
# Formation enthalpy at 0 K: 5.8 kJ per mole of atoms

---

9.
# CdTcSnGe2 (PBE, relaxed)
data_CdTcSnGe2
_chemical_formula_sum 'Cd1 Tc1 Sn1 Ge2'
_symmetry_space_group_name_H-M 'P 4/m m m'
_symmetry_Int_Tables_number 123
_symmetry_space_group_name_Hall '-P 4 2'
_cell_length_a 5.244
_cell_length_b 5.244
_cell_length_c 5.346
_cell_angle_alpha 90.00
_cell_angle_beta 90.00
_cell_angle_gamma 90.00
loop_
_atom_site_label
_atom_site_type_symbol
_atom_site_fract_x
_atom_site_fract_y
_atom_site_fract_z
_atom_site_occupancy
Cd1 Cd 0.000 0.000 0.000 1
Tc1 Tc 0.500 0.500 0.000 1
Sn1 Sn 0.000 0.000 0.500 1
Ge1 Ge 0.000 0.500 0.500 1
# Total moment: 3.7 μB/cell
# Formation enthalpy at 0 K: 144.3 kJ per mole of atoms

---

10.
# FeSeN2 (PBE, relaxed)
data_FeSeN2
_chemical_formula_sum 'Fe4 Se4 N8'
_symmetry_space_group_name_H-M 'I -4 2 d'
_symmetry_Int_Tables_number 122
_symmetry_space_group_name_Hall 'I -4 2bw'
_cell_length_a 4.994
_cell_length_b 4.994
_cell_length_c 8.081
_cell_angle_alpha 90.00
_cell_angle_beta 90.00
_cell_angle_gamma 90.00
loop_
_atom_site_label
_atom_site_type_symbol
_atom_site_fract_x
_atom_site_fract_y
_atom_site_fract_z
_atom_site_occupancy
Fe1 Fe 0.000 0.000 0.000 1
Se1 Se 0.000 0.000 0.500 1
N1 N 0.155 0.250 0.125 1
# Total moment: 0.0 μB/cell
# Uncorrected formation energy: 0.7851 eV/atom

---

11.
# TaFe2Hg (PBE, relaxed)
data_TaFe2Hg
_chemical_formula_sum 'Ta1 Fe2 Hg1'
_symmetry_space_group_name_H-M 'P 4/m m m'
_symmetry_Int_Tables_number 123
_symmetry_space_group_name_Hall '-P 4 2'
_cell_length_a 3.224
_cell_length_b 3.224
_cell_length_c 5.985
_cell_angle_alpha 90.00
_cell_angle_beta 90.00
_cell_angle_gamma 90.00
loop_
_atom_site_label
_atom_site_type_symbol
_atom_site_fract_x
_atom_site_fract_y
_atom_site_fract_z
_atom_site_occupancy
Ta1 Ta 0.000 0.000 0.000 1
Fe1 Fe 0.500 0.500 0.210 1
Hg1 Hg 0.000 0.000 0.500 1
# Total moment: 3.0 μB/cell
# Formation enthalpy at 0 K: 16.5 kJ per mole of atoms

---

12.
# K2ZnGe3Pt4 (PBE, relaxed)
data_K2ZnGe3Pt4
_chemical_formula_sum 'K2 Zn1 Ge3 Pt4'
_symmetry_space_group_name_H-M 'P -4 m 2'
_symmetry_Int_Tables_number 115
_symmetry_space_group_name_Hall 'P -4 -2'
_cell_length_a 4.446
_cell_length_b 4.446
_cell_length_c 10.278
_cell_angle_alpha 90.00
_cell_angle_beta 90.00
_cell_angle_gamma 90.00
loop_
_atom_site_label
_atom_site_type_symbol
_atom_site_fract_x
_atom_site_fract_y
_atom_site_fract_z
_atom_site_occupancy
K1 K 0.000 0.500 0.248 1
Zn1 Zn 0.500 0.500 0.000 1
Ge1 Ge 0.000 0.000 0.000 1
Ge2 Ge 0.000 0.500 0.623 1
Pt1 Pt 0.000 0.000 0.500 1
Pt2 Pt 0.000 0.500 0.872 1
Pt3 Pt 0.500 0.500 0.500 1
# Total moment: 0.0 μB/cell
# Formation enthalpy at 0 K: -42.5 kJ per mole of atoms

---

13.
# UAlSb2 (PBE, relaxed)
data_UAlSb2
_chemical_formula_sum 'U3 Al3 Sb6'
_symmetry_space_group_name_H-M 'R -3 m'
_symmetry_Int_Tables_number 166
_symmetry_space_group_name_Hall '-R 3 2"'
_cell_length_a 3.3665
_cell_length_b 3.3665
_cell_length_c 31.1765
_cell_angle_alpha 90.00
_cell_angle_beta 90.00
_cell_angle_gamma 120.00
loop_
_atom_site_label
_atom_site_type_symbol
_atom_site_fract_x
_atom_site_fract_y
_atom_site_fract_z
_atom_site_occupancy
U1 U 0.0000 0.0000 0.0000 1
Al1 Al 0.0000 0.0000 0.5000 1
Sb1 Sb 0.0000 0.0000 0.1007 1
# Total moment: 10.0 μB/cell
# Uncorrected formation energy: 0.4293 eV/atom

---

14.
# NaLa3Nd4Te8 (PBE, relaxed)
data_NaLa3Nd4Te8
_chemical_formula_sum 'Na3 La9 Nd12 Te24'
_symmetry_space_group_name_H-M 'R -3 m'
_symmetry_Int_Tables_number 166
_symmetry_space_group_name_Hall '-R 3 2"'
_cell_length_a 9.0639
_cell_length_b 9.0639
_cell_length_c 22.2904
_cell_angle_alpha 90.00
_cell_angle_beta 90.00
_cell_angle_gamma 120.00
loop_
_atom_site_label
_atom_site_type_symbol
_atom_site_fract_x
_atom_site_fract_y
_atom_site_fract_z
_atom_site_occupancy
Na1 Na 0.0000 0.0000 0.0000 1
La1 La 0.0000 0.5000 0.0000 1
Nd1 Nd 0.0000 0.0000 0.5000 1
Nd2 Nd 0.0000 0.5000 0.5000 1
Te1 Te 0.0000 0.0000 0.2485 1
Te2 Te 0.0043 0.5022 0.7505 1
# Total moment: 0.0 μB/cell
# Uncorrected formation energy: -1.4713 eV/atom

---

15.
# Na3Ac2YO6 (PBE, relaxed)
data_Na3Ac2YO6
_chemical_formula_sum 'Na6 Ac4 Y2 O12'
_symmetry_space_group_name_H-M 'C 1 2/m 1'
_symmetry_Int_Tables_number 12
_symmetry_space_group_name_Hall '-C 2y'
_cell_length_a 6.358
_cell_length_b 11.152
_cell_length_c 6.023
_cell_angle_alpha 90.00
_cell_angle_beta 109.39
_cell_angle_gamma 90.00
loop_
_atom_site_label
_atom_site_type_symbol
_atom_site_fract_x
_atom_site_fract_y
_atom_site_fract_z
_atom_site_occupancy
Na1 Na 0.000 0.000 0.000 1
Na2 Na 0.000 0.355 0.000 1
Ac1 Ac 0.000 0.168 0.500 1
Y1 Y 0.000 0.500 0.500 1
O1 O 0.223 0.346 0.716 1
O2 O 0.245 0.500 0.285 1
# Total moment: 0.0 μB/cell
# Uncorrected formation energy: -2.5963 eV/atom

---

16.
# AcLa3Cd8 (PBE, relaxed)
data_AcLa3Cd8
_chemical_formula_sum 'Ac1 La3 Cd8'
_symmetry_space_group_name_H-M 'P 3 m 1'
_symmetry_Int_Tables_number 156
_symmetry_space_group_name_Hall 'P 3 -2"'
_cell_length_a 6.2042
_cell_length_b 6.2042
_cell_length_c 9.6691
_cell_angle_alpha 90.00
_cell_angle_beta 90.00
_cell_angle_gamma 120.00
loop_
_atom_site_label
_atom_site_type_symbol
_atom_site_fract_x
_atom_site_fract_y
_atom_site_fract_z
_atom_site_occupancy
Ac1 Ac 0.0000 0.0000 0.0000 1
La1 La 0.0000 0.0000 0.3867 1
La2 La 0.6667 0.3333 0.4977 1
La3 La 0.6667 0.3333 0.8759 1
Cd1 Cd 0.1648 0.3297 0.6878 1
Cd2 Cd 0.3333 0.6667 0.4382 1
Cd3 Cd 0.3333 0.6667 0.9394 1
Cd4 Cd 0.5037 0.0074 0.1916 1
# Total moment: 0.0 μB/cell
# Formation enthalpy at 0 K: -31.1 kJ per mole of atoms